w.
{"formula": "NbCuNiBi", "functional": "PBE", "state": "relaxed", "lattice_angstrom": [[0.000, 3.230, 3.230], [3.230, 0.000, 3.230], [3.230, 3.230, 0.000]], "species": ["Nb", "Cu", "Ni", "Bi"], "fractional_positions": [[0.000, 0.000, 0.000], [0.750, 0.750, 0.750], [0.250, 0.250, 0.250], [0.500, 0.500, 0.500]], "space_group": "F-43m, No. 216"}



x.
{"formula": "NbCuNiBi", "functional": "PBE", "state": "relaxed", "lattice_angstrom": [[0.000, 3.244, 3.244], [3.244, 0.000, 3.244], [3.244, 3.244, 0.000]], "species": ["Nb", "Cu", "Ni", "Bi"], "fractional_positions": [[0.000, 0.000, 0.000], [0.500, 0.500, 0.500], [0.750, 0.750, 0.750], [0.250, 0.250, 0.250]], "space_group": "F-43m, No. 216"}



w ends up most stable, edging out the next structure by 42 meV per atom.



w.
{"formula": "NbCuBiOs", "functional": "PBE", "state": "relaxed", "lattice_angstrom": [[0.000, 3.281, 3.281], [3.281, 0.000, 3.281], [3.281, 3.281, 0.000]], "species": ["Nb", "Cu", "Bi", "Os"], "fractional_positions": [[0.000, 0.000, 0.000], [0.750, 0.750, 0.750], [0.500, 0.500, 0.500], [0.250, 0.250, 0.250]], "space_group": "F-43m, No. 216"}



x.
{"formula": "NbCuBiOs", "functional": "PBE", "state": "relaxed", "lattice_angstrom": [[0.000, 3.274, 3.274], [3.274, 0.000, 3.274], [3.274, 3.274, 0.000]], "species": ["Nb", "Cu", "Bi", "Os"], "fractional_positions": [[0.000, 0.000, 0.000], [0.500, 0.500, 0.500], [0.750, 0.750, 0.750], [0.250, 0.250, 0.250]], "space_group": "F-43m, No. 216"}



w ends up most stable, edging out the next structure by 112 meV per atom.



w.
{"formula": "NbCuBiPt", "functional": "PBE", "state": "relaxed", "lattice_angstrom": [[0.000, 3.340, 3.340], [3.340, 0.000, 3.340], [3.340, 3.340, 0.000]], "species": ["Nb", "Cu", "Bi", "Pt"], "fractional_positions": [[0.000, 0.000, 0.000], [0.750, 0.750, 0.750], [0.500, 0.500, 0.500], [0.250, 0.250, 0.250]], "space_group": "F-43m, No. 216"}



x.
{"formula": "NbCuBiPt", "functional": "PBE", "state": "relaxed", "lattice_angstrom": [[0.000, 3.318, 3.318], [3.318, 0.000, 3.318], [3.318, 3.318, 0.000]], "species": ["Nb", "Cu", "Bi", "Pt"], "fractional_positions": [[0.000, 0.000, 0.000], [0.500, 0.500, 0.500], [0.250, 0.250, 0.250], [0.750, 0.750, 0.750]], "space_group": "F-43m, No. 216"}



x ends up most stable, edging out the next structure by 66 meV per atom.



w.
{"formula": "ZrNbCuBi", "functional": "PBE", "state": "relaxed", "lattice_angstrom": [[0.000, 3.402, 3.402], [3.402, 0.000, 3.402], [3.402, 3.402, 0.000]], "species": ["Zr", "Nb", "Cu", "Bi"], "fractional_positions": [[0.000, 0.000, 0.000], [0.500, 0.500, 0.500], [0.750, 0.750, 0.750], [0.250, 0.250, 0.250]], "space_group": "F-43m, No. 216"}



x.
{"formula": "ZrNbCuBi", "functional": "PBE", "state": "relaxed", "lattice_angstrom": [[0.000, 3.416, 3.416], [3.416, 0.000, 3.416], [3.416, 3.416, 0.000]], "species": ["Zr", "Nb", "Cu", "Bi"], "fractional_positions": [[0.000, 0.000, 0.000], [0.750, 0.750, 0.750], [0.250, 0.250, 0.250], [0.500, 0.500, 0.500]], "space_group": "F-43m, No. 216"}



w ends up most stable, edging out the next structure by 206 meV per atom.



w.
{"formula": "CuNiBiPd", "functional": "PBE", "state": "relaxed", "lattice_angstrom": [[0.000, 3.173, 3.173], [3.173, 0.000, 3.173], [3.173, 3.173, 0.000]], "species": ["Cu", "Ni", "Bi", "Pd"], "fractional_positions": [[0.000, 0.000, 0.000], [0.500, 0.500, 0.500], [0.750, 0.750, 0.750], [0.250, 0.250, 0.250]], "space_group": "F-43m, No. 216"}



x.
{"formula": "CuNiBiPd", "functional": "PBE", "state": "relaxed", "lattice_angstrom": [[0.000, 3.196, 3.196], [3.196, 0.000, 3.196], [3.196, 3.196, 0.000]], "species": ["Cu", "Ni", "Bi", "Pd"], "fractional_positions": [[0.000, 0.000, 0.000], [0.250, 0.250, 0.250], [0.750, 0.750, 0.750], [0.500, 0.500, 0.500]], "space_group": "F-43m, No. 216"}



w ends up most stable, edging out the next structure by 75 meV per atom.



w.
{"formula": "ScCuNiBi", "functional": "PBE", "state": "relaxed", "lattice_angstrom": [[0.000, 3.255, 3.255], [3.255, 0.000, 3.255], [3.255, 3.255, 0.000]], "species": ["Sc", "Cu", "Ni", "Bi"], "fractional_positions": [[0.000, 0.000, 0.000], [0.250, 0.250, 0.250], [0.750, 0.750, 0.750], [0.500, 0.500, 0.500]], "space_group": "F-43m, No. 216"}



x.
{"formula": "ScCuNiBi", "functional": "PBE", "state": "relaxed", "lattice_angstrom": [[0.000, 3.272, 3.272], [3.272, 0.000, 3.272], [3.272, 3.272, 0.000]], "species": ["Sc", "Cu", "Ni", "Bi"], "fractional_positions": [[0.000, 0.000, 0.000], [0.750, 0.750, 0.750], [0.500, 0.500, 0.500], [0.250, 0.250, 0.250]], "space_group": "F-43m, No. 216"}



w ends up most stable, edging out the next structure by 130 meV per atom.